Record 1
# LaThBiSb | Alexandria via LeMat-Bulk | PBE | relaxed
data_LaThBiSb
_chemical_formula_sum 'La1 Th1 Bi1 Sb1'
_space_group_name_H-M_alt 'P 1'
_space_group_IT_number 1
_cell_length_a 4.5929
_cell_length_b 4.5929
_cell_length_c 6.5114
_cell_angle_alpha 90.00
_cell_angle_beta 90.00
_cell_angle_gamma 90.00
loop_
_space_group_symop_operation_xyz
'x,y,z'
loop_
_atom_site_label
_atom_site_type_symbol
_atom_site_fract_x
_atom_site_fract_y
_atom_site_fract_z
La1 La 0.5000 0.5000 0.0000
Th1 Th 0.0000 0.0000 0.5000
Bi1 Bi 0.0000 0.0000 0.0000
Sb1 Sb 0.5000 0.5000 0.5000
# - energy (eV for the cell shown) = -24.201
# - distance to the lowest polymorph of the same formula (meV per atom) = 0.0
# - spin magnetization (μB per formula unit) = 0.0
# - space-group type = No. 123
# - formation energy (no corrections) (eV/atom) = -0.9627
# - DOS(E_F) (states/eV/atom) = 0.49

---

Record 2
# Rb2SmNp3O12 | Alexandria via LeMat-Bulk | PBE | relaxed
data_Rb2SmNp3O12
_chemical_formula_sum 'Rb2 Sm1 Np3 O12'
_space_group_name_H-M_alt 'P 1'
_space_group_IT_number 1
_cell_length_a 7.8053
_cell_length_b 7.8053
_cell_length_c 7.8053
_cell_angle_alpha 61.88
_cell_angle_beta 61.88
_cell_angle_gamma 61.88
loop_
_space_group_symop_operation_xyz
'x,y,z'
loop_
_atom_site_label
_atom_site_type_symbol
_atom_site_fract_x
_atom_site_fract_y
_atom_site_fract_z
Rb1 Rb 0.6279 0.6279 0.6279
Rb2 Rb 0.3721 0.3721 0.3721
Sm1 Sm 0.0000 0.0000 0.0000
Np1 Np 0.5000 0.0000 0.0000
Np2 Np 0.0000 0.5000 0.0000
Np3 Np 0.0000 0.0000 0.5000
O1 O 0.3067 0.3067 0.9278
O2 O 0.9217 0.9217 0.3512
O3 O 0.3512 0.9217 0.9217
O4 O 0.9278 0.3067 0.3067
O5 O 0.9217 0.3512 0.9217
O6 O 0.3067 0.9278 0.3067
O7 O 0.6933 0.6933 0.0722
O8 O 0.0783 0.0783 0.6488
O9 O 0.6488 0.0783 0.0783
O10 O 0.0722 0.6933 0.6933
O11 O 0.0783 0.6488 0.0783
O12 O 0.6933 0.0722 0.6933
# - energy (eV for the cell shown) = -154.007
# - spin magnetization (μB per formula unit) = 2.0
# - space-group type = No. 166
# - formation energy (no corrections) (eV/atom) = -2.7240
# - DOS(E_F) (states/eV/atom) = 0.62

---

Record 3
# Cs2Cu2Rh | Alexandria via LeMat-Bulk | PBE | relaxed
data_Cs2Cu2Rh
_chemical_formula_sum 'Cs2 Cu2 Rh1'
_space_group_name_H-M_alt 'P 1'
_space_group_IT_number 1
_cell_length_a 6.8639
_cell_length_b 6.8639
_cell_length_c 6.0832
_cell_angle_alpha 55.66
_cell_angle_beta 55.66
_cell_angle_gamma 90.00
loop_
_space_group_symop_operation_xyz
'x,y,z'
loop_
_atom_site_label
_atom_site_type_symbol
_atom_site_fract_x
_atom_site_fract_y
_atom_site_fract_z
Cs1 Cs 0.7500 0.2500 0.5000
Cs2 Cs 0.2500 0.7500 0.5000
Rh1 Rh 0.0000 0.0000 0.0000
Cu1 Cu 0.3380 0.3380 0.3239
Cu2 Cu 0.6620 0.6620 0.6761
# - energy (eV for the cell shown) = -13.568
# - distance to the lowest polymorph of the same formula (meV per atom) = 127.8
# - spin magnetization (μB per formula unit) = 1.0
# - space-group type = No. 139
# - energy relative to the elements (meV per atom) = 737
# - DOS(E_F) (states/eV/atom) = 2.02